[1]
DFT (SCAN) results for FeReW2 at its PBEsol-relaxed geometry.

Values from the calculation:
Spin magnetization (μB per atom): 0.11
Total DFT energy (no corrections) (eV/atom): -56.915
E above lowest polymorph (meV/atom): 178.2

a b c (Å): 2.6640 2.6640 7.9622
angles (deg): 90.00 90.00 90.00
Last column: nearest neighbours and their distance in Å.
Fractional coordinates of all 4 atoms:
Fe 0.0000 0.0000 0.0000  4 Re 2.50, 4 W 2.64, 4 Fe 2.66
Re 0.5000 0.5000 0.2064  4 Fe 2.50, 4 Re 2.66
W 0.0000 0.0000 0.4828  8 W 2.66-2.94, 4 Re 2.90
W 0.5000 0.5000 0.7670  4 Fe 2.64, 8 W 2.66-2.94

[2]
DFT (SCAN) results for FeReW at its PBEsol-relaxed geometry.

Values from the calculation:
Spin magnetization (μB per atom): 0.96
Total DFT energy (no corrections) (eV/atom): -52.982

a b c (Å): 4.3079 4.3079 2.6207
angles (deg): 90.00 90.00 120.00
Last column: nearest neighbours and their distance in Å.
Fractional coordinates of all 3 atoms:
Fe 0.0000 0.0000 0.0000  2 Fe 2.62, 3 W 2.63, 3 Re 2.64
Re 0.3333 0.6667 0.6624  2 Re 2.62, 3 W 2.64, 3 Fe 2.64
W 0.6667 0.3333 0.3299  2 W 2.62, 3 Fe 2.63, 3 Re 2.64